First-principles (PBE) data for a relaxed structure of Er6Fe2Ru, as listed in Alexandria via LeMat-Bulk.

Summary:
Symmetry: Immm
Energy of formation (eV per formula unit): -1.168
Density of states at the Fermi level (states/eV/cell): 15.000
DFT total energy (eV per atom): -6.083

Cell: 8.1292 8.1292 8.1292 Å, 111.03 109.38 108.02°
Last column: nearest neighbours and their distance in Å.
Sites, in units of the cell vectors:
Er 0.0220 0.2006 0.8214  3 Fe 2.75-2.80
Er 0.2496 0.5725 0.3228  1 Ru 2.89, 3 Fe 3.00-3.08
Er 0.2496 0.9268 0.6772  1 Ru 2.89, 3 Fe 3.00-3.08
Er 0.2673 0.3086 0.5759  2 Ru 2.81-3.07, 2 Fe 3.02-3.06
Er 0.2673 0.6914 0.9587  2 Ru 2.81-3.07, 2 Fe 3.02-3.06
Er 0.3793 0.2006 0.1786  3 Fe 2.75-2.80
Er 0.6207 0.7994 0.8214  3 Fe 2.75-2.80
Er 0.7327 0.3086 0.0413  2 Ru 2.81-3.07, 2 Fe 3.02-3.06
Er 0.7327 0.6914 0.4241  2 Ru 2.81-3.07, 2 Fe 3.02-3.06
Er 0.7504 0.0732 0.3228  1 Ru 2.89, 3 Fe 3.00-3.08
Er 0.7504 0.4275 0.6772  1 Ru 2.89, 3 Fe 3.00-3.08
Er 0.9780 0.7994 0.1786  3 Fe 2.75-2.80
Fe 0.0000 0.1259 0.1259  1 Fe 2.32
Fe 0.0000 0.8741 0.8741  1 Fe 2.32
Fe 0.3891 0.0000 0.3891  1 Fe 2.08
Fe 0.6109 0.0000 0.6109  1 Fe 2.08
Ru 0.0000 0.5000 0.5000  8 Er 2.89-3.07
Ru 0.5000 0.5000 0.0000  4 Er 2.81

First-principles (PBE) data for a relaxed structure of Sm4CS2, as listed in Alexandria via LeMat-Bulk.

Summary:
Symmetry: Cmmm
Density of states at the Fermi level (states/eV/cell): 3.968
Raw formation energy (meV per atom): -1264
DFT total energy (eV per atom): -6.457

Cell: 6.8670 6.8670 3.8661 Å, 90.00 90.00 108.16°
Last column: nearest neighbours and their distance in Å.
Sites, in units of the cell vectors:
Sm 0.2145 0.2145 0.5000  2 C 2.59, 2 S 2.80
Sm 0.2307 0.7693 0.0000  1 C 2.57, 4 S 2.80
Sm 0.7693 0.2307 0.0000  1 C 2.57, 4 S 2.80
Sm 0.7855 0.7855 0.5000  2 C 2.59, 2 S 2.80
C 0.0000 0.0000 0.0000  6 Sm 2.57-2.59
S 0.0000 0.5000 0.5000  6 Sm 2.80
S 0.5000 0.0000 0.5000  6 Sm 2.80

First-principles (PBE) data for a relaxed structure of LiErTmAg, as listed in Alexandria via LeMat-Bulk.

Summary:
Symmetry: F-43m
Energy of formation (eV per formula unit): -0.420
Density of states at the Fermi level (states/eV/cell): 3.487
DFT total energy (eV per atom): -3.555

Cell: 5.0992 5.0992 5.0992 Å, 60.00 60.00 60.00°
Last column: nearest neighbours and their distance in Å.
Sites, in units of the cell vectors:
Li 0.0000 0.0000 0.0000  4 Tm 3.12, 4 Er 3.12
Er 0.2500 0.2500 0.2500  4 Li 3.12, 4 Ag 3.12
Tm 0.7500 0.7500 0.7500  4 Li 3.12, 4 Ag 3.12
Ag 0.5000 0.5000 0.5000  4 Er 3.12, 4 Tm 3.12

First-principles (PBE) data for a relaxed structure of Ca2Pd5Pb, as listed in Alexandria via LeMat-Bulk.

Summary:
Symmetry: I4mm
Energy of formation (eV per formula unit): -4.400
Density of states at the Fermi level (states/eV/cell): 1.766
DFT total energy (eV per atom): -4.760

Cell: 5.8774 5.8774 5.8774 Å, 116.12 116.12 96.87°
Last column: nearest neighbours and their distance in Å.
Sites, in units of the cell vectors:
Ca 0.0000 0.5000 0.5000  10 Pd 2.94-3.11, 2 Pb 3.11
Ca 0.5000 0.0000 0.5000  10 Pd 2.94-3.11, 2 Pb 3.11
Pd 0.0003 0.0003 0.0000  8 Pd 2.94, 4 Ca 3.11
Pd 0.5005 0.5005 0.5014  2 Pb 2.94, 6 Pd 2.94-3.12, 4 Ca 2.94
Pd 0.5005 0.9991 0.0000  2 Pb 2.94, 6 Pd 2.94-3.12, 4 Ca 2.94
Pd 0.9991 0.5005 0.0000  2 Pb 2.94, 6 Pd 2.94-3.12, 4 Ca 2.94
Pd 0.9991 0.9991 0.4986  2 Pb 2.94, 6 Pd 2.94-3.12, 4 Ca 2.94
Pb 0.4983 0.4983 0.0000  8 Pd 2.94, 4 Ca 3.11

First-principles (PBE) data for a relaxed structure of La6Dy2Th, as listed in Alexandria via LeMat-Bulk.

Summary:
Symmetry: P-6m2
Energy of formation (eV per formula unit): 0.541
Density of states at the Fermi level (states/eV/cell): 15.656
DFT total energy (eV per atom): -5.072
Energy above the most stable polymorph in this dataset (meV/atom): 0

Cell: 3.6616 3.6616 27.5876 Å, 90.00 90.00 120.00°
Last column: nearest neighbours and their distance in Å.
Sites, in units of the cell vectors:
La 0.0000 0.0000 0.0665  3 Dy 3.56, 7 La 3.66-3.67
La 0.0000 0.0000 0.2773  3 Dy 3.63, 9 La 3.66-3.82
La 0.0000 0.0000 0.7227  3 Dy 3.63, 9 La 3.66-3.82
La 0.0000 0.0000 0.9335  3 Dy 3.56, 7 La 3.66-3.67
La 0.3333 0.6667 0.3927  3 Th 3.64, 9 La 3.66-3.82
La 0.3333 0.6667 0.6073  3 Th 3.64, 9 La 3.66-3.82
Dy 0.3333 0.6667 0.1705  6 La 3.56-3.63, 6 Dy 3.66
Dy 0.3333 0.6667 0.8295  6 La 3.56-3.63, 6 Dy 3.66
Th 0.0000 0.0000 0.5000  6 La 3.64, 6 Th 3.66

First-principles (PBE) data for a relaxed structure of K3VC, as listed in Alexandria via LeMat-Bulk.

Summary:
Symmetry: Pm-3m
Energy of formation (eV per formula unit): 7.944
Density of states at the Fermi level (states/eV/cell): 10.802
DFT total energy (eV per atom): -2.738
Energy above the most stable polymorph in this dataset (meV/atom): 0

Cell: 5.8496 5.8496 5.8496 Å, 90.00 90.00 90.00°
Last column: nearest neighbours and their distance in Å.
Sites, in units of the cell vectors:
K 0.0000 0.0000 0.5000  2 C 2.92
K 0.0000 0.5000 0.0000  2 C 2.92
K 0.5000 0.0000 0.0000  2 C 2.92
V 0.5000 0.5000 0.5000  12 K 4.14
C 0.0000 0.0000 0.0000  6 K 2.92

First-principles (PBE) data for a relaxed structure of HoEr2Tm4, as listed in Alexandria via LeMat-Bulk.

Summary:
Symmetry: P1
Energy of formation (eV per formula unit): 0.568
Density of states at the Fermi level (states/eV/cell): 22.425
DFT total energy (eV per atom): -4.432
Energy above the most stable polymorph in this dataset (meV/atom): 80

Cell: 5.9467 8.2865 9.7082 Å, 85.01 72.39 69.04°
Last column: nearest neighbours and their distance in Å.
Sites, in units of the cell vectors:
Ho 0.0000 0.0000 0.0000  7 Tm 3.29-3.64, 3 Er 3.44-3.61
Ho 0.2860 0.1424 0.2856  7 Tm 3.28-3.63, 3 Er 3.44-3.61
Er 0.1016 0.5710 0.1427  8 Tm 3.42-3.60, 2 Er 3.49, 2 Ho 3.61
Er 0.1193 0.5000 0.4999  7 Tm 3.29-3.63, 1 Ho 3.44, 2 Er 3.49-3.61
Er 0.3025 0.0709 0.6429  8 Tm 3.42-3.62, 2 Ho 3.49-3.50, 2 Er 3.61-3.62
Er 0.4022 0.6414 0.7857  7 Tm 3.29-3.64, 1 Ho 3.44, 2 Er 3.49-3.62
Tm 0.4719 0.2160 0.9228  5 Tm 3.27-3.66, 2 Ho 3.29-3.43, 3 Er 3.42-3.60
Tm 0.5096 0.7152 0.4231  5 Tm 3.26-3.65, 4 Er 3.29-3.60, 1 Ho 3.60
Tm 0.5430 0.7838 0.0672  3 Ho 3.32-3.64, 5 Tm 3.38-3.66, 3 Er 3.43-3.53
Tm 0.6803 0.3582 0.2183  3 Ho 3.32-3.63, 5 Tm 3.37-3.66, 3 Er 3.43-3.53
Tm 0.7242 0.2842 0.5673  5 Er 3.32-3.63, 5 Tm 3.38-3.65, 1 Ho 3.50
Tm 0.8597 0.8574 0.7188  5 Er 3.31-3.64, 5 Tm 3.38-3.64, 1 Ho 3.49
Tm 0.8984 0.9259 0.3628  4 Tm 3.26-3.63, 2 Ho 3.28-3.43, 3 Er 3.42-3.62
Tm 0.9315 0.4264 0.8622  5 Tm 3.27-3.64, 4 Er 3.29-3.60, 1 Ho 3.59

First-principles (PBE) data for a relaxed structure of LaTm2Cr2C4, as listed in Alexandria via LeMat-Bulk.

Summary:
Symmetry: C2/m
Energy of formation (eV per formula unit): -0.964
Density of states at the Fermi level (states/eV/cell): 5.668
DFT total energy (eV per atom): -7.886

Cell: 6.9392 6.9392 5.9485 Å, 112.98 112.98 27.30°
Last column: nearest neighbours and their distance in Å.
Sites, in units of the cell vectors:
La 0.0000 0.0000 0.0000  6 C 2.76-2.84, 4 Cr 2.95, 2 Tm 3.03
Tm 0.1484 0.1484 0.5398  7 C 2.42-2.65
Tm 0.8516 0.8516 0.4602  7 C 2.42-2.65
Cr 0.3235 0.3235 0.0272  3 C 2.02-2.07
Cr 0.6765 0.6765 0.9728  3 C 2.02-2.07
C 0.2233 0.2233 0.2040  3 Cr 2.02-2.07
C 0.4799 0.4799 0.3698  1 C 1.42
C 0.5201 0.5201 0.6302  1 C 1.42
C 0.7767 0.7767 0.7960  3 Cr 2.02-2.07

First-principles (PBE) data for a relaxed structure of CuSi2OsRh, as listed in Alexandria via LeMat-Bulk.

Summary:
Symmetry: P4/mmm
Density of states at the Fermi level (states/eV/cell): 4.133
Raw formation energy (meV per atom): 932
DFT total energy (eV per atom): -5.773

Cell: 4.5066 4.5066 4.9732 Å, 90.00 90.00 90.00°
Last column: nearest neighbours and their distance in Å.
Sites, in units of the cell vectors:
Cu 0.0000 0.0000 0.0000  4 Rh 3.19, 8 Si 3.36
Si 0.0000 0.5000 0.5000  2 Os 2.25
Si 0.5000 0.0000 0.5000  2 Os 2.25
Os 0.5000 0.5000 0.5000  4 Si 2.25, 2 Rh 2.49
Rh 0.5000 0.5000 0.0000  2 Os 2.49

First-principles (PBE) data for a relaxed structure of Ge3SbN, as listed in Alexandria via LeMat-Bulk.

Summary:
Symmetry: Pm-3m
Density of states at the Fermi level (states/eV/cell): 1.627
Raw formation energy (meV per atom): 572
DFT total energy (eV per atom): -4.688
Energy above the most stable polymorph in this dataset (meV/atom): 0

Cell: 4.5374 4.5374 4.5374 Å, 90.00 90.00 90.00°
Last column: nearest neighbours and their distance in Å.
Sites, in units of the cell vectors:
Ge 0.0000 0.0000 0.5000  2 N 2.27
Ge 0.0000 0.5000 0.0000  2 N 2.27
Ge 0.5000 0.0000 0.0000  2 N 2.27
Sb 0.5000 0.5000 0.5000  12 Ge 3.21
N 0.0000 0.0000 0.0000  6 Ge 2.27

First-principles (PBE) data for a relaxed structure of NbRu2WS, as listed in Alexandria via LeMat-Bulk.

Summary:
Symmetry: P4/mmm
Density of states at the Fermi level (states/eV/cell): 5.783
Raw formation energy (meV per atom): 466
DFT total energy (eV per atom): -8.674

Cell: 4.3086 4.3086 4.4463 Å, 90.00 90.00 90.00°
Last column: nearest neighbours and their distance in Å.
Sites, in units of the cell vectors:
Nb 0.0000 0.0000 0.0000  4 W 3.05, 8 Ru 3.10
Ru 0.0000 0.5000 0.5000  2 S 2.15
Ru 0.5000 0.0000 0.5000  2 S 2.15
W 0.5000 0.5000 0.0000  2 S 2.22
S 0.5000 0.5000 0.5000  4 Ru 2.15, 2 W 2.22

First-principles (PBE) data for a relaxed structure of KSi2Hg, as listed in Alexandria via LeMat-Bulk.

Summary:
Symmetry: Cm
Density of states at the Fermi level (states/eV/cell): 1.030
Raw formation energy (meV per atom): 43
DFT total energy (eV per atom): -3.018

Cell: 3.9266 3.9266 8.3044 Å, 103.51 103.51 59.99°
Last column: nearest neighbours and their distance in Å.
Sites, in units of the cell vectors:
K 0.0000 0.0000 0.0000  3 Si 3.37, 3 Hg 3.47
Si 0.4661 0.4661 0.4029  3 Si 2.38
Si 0.7695 0.7695 0.3122  3 Si 2.38
Hg 0.2254 0.2254 0.6710  3 Si 3.10-3.13